TlHgRuCl6: relaxed, PBE.

Cell lengths 6.805, 6.805, 6.755 Å; angles 90.00, 90.00, 120.00 degrees
Fractional positions:
Tl  0.000  0.000  0.000
Hg  0.667  0.333  0.500
Ru  0.333  0.667  0.500
Cl  0.043  0.389  0.701
Cl  0.043  0.654  0.299
Cl  0.346  0.389  0.299
Cl  0.346  0.957  0.701
Cl  0.611  0.654  0.701
Cl  0.611  0.957  0.299

Properties
formation energy without anion corrections = -0.654 eV per atom



Bi2Te2Rh3: relaxed, PBE.

Cell lengths 3.667, 6.902, 6.916 Å; angles 94.29, 105.37, 105.33 degrees
Fractional positions:
Bi  0.177  0.254  0.103
Bi  0.823  0.746  0.897
Te  0.110  0.777  0.442
Te  0.890  0.223  0.558
Rh  0.415  0.035  0.795
Rh  0.500  0.500  0.500
Rh  0.585  0.965  0.205

Properties
formation energy without anion corrections = -0.190 eV per atom
distance to the lowest polymorph of the same formula = 83 meV per atom



Tb5HoIn3: relaxed, PBE.

Cell lengths 9.371, 9.371, 6.740 Å; angles 90.00, 90.00, 120.00 degrees
Fractional positions:
Tb  0.000  0.334  0.250
Tb  0.000  0.666  0.750
Tb  0.333  0.667  0.000
Tb  0.333  0.667  0.500
Tb  0.334  0.000  0.250
Tb  0.334  0.334  0.750
Tb  0.666  0.000  0.750
Tb  0.666  0.666  0.250
Tb  0.667  0.333  0.000
Tb  0.667  0.333  0.500
Ho  0.000  0.000  0.000
Ho  0.000  0.000  0.500
In  0.000  0.332  0.750
In  0.000  0.668  0.250
In  0.332  0.000  0.750
In  0.332  0.332  0.250
In  0.668  0.000  0.250
In  0.668  0.668  0.750

Properties
energy of formation from the pure elements = -0.3543 eV/atom



CoMo2HRu: relaxed, PBE.

Cell lengths 3.943, 3.943, 3.723 Å; angles 90.00, 90.00, 90.00 degrees
Fractional positions:
Co  0.000  0.000  0.000
Mo  0.000  0.500  0.500
Mo  0.500  0.000  0.500
H  0.000  0.000  0.500
Ru  0.500  0.500  0.000

Properties
distance to the lowest polymorph of the same formula = 0 meV per atom



Li6MgGa2: relaxed, PBE.

Cell lengths 5.345, 5.345, 5.345 Å; angles 96.03, 96.03, 96.03 degrees
Fractional positions:
Li  0.000  0.327  0.673
Li  0.000  0.673  0.327
Li  0.327  0.000  0.673
Li  0.327  0.673  0.000
Li  0.673  0.000  0.327
Li  0.673  0.327  0.000
Mg  0.500  0.500  0.500
Ga  0.163  0.163  0.163
Ga  0.837  0.837  0.837

Properties
energy of formation from the pure elements = -0.1918 eV/atom
distance to the lowest polymorph of the same formula = 0 meV per atom



LaAs2PtBr: relaxed, PBE.

Cell lengths 5.777, 5.777, 5.536 Å; angles 90.00, 90.00, 90.00 degrees
Fractional positions:
La  0.000  0.000  0.000
As  0.000  0.500  0.000
As  0.500  0.000  0.000
Pt  0.500  0.500  0.500
Br  0.000  0.000  0.500

Properties
formation energy without anion corrections = 0.749 eV per atom
distance to the lowest polymorph of the same formula = 1156 meV per atom



Mn2OsIBr: relaxed, PBE.

Cell lengths 5.215, 5.215, 4.696 Å; angles 90.00, 90.00, 90.00 degrees
Fractional positions:
Mn  0.000  0.500  0.000
Mn  0.500  0.000  0.000
Os  0.000  0.000  0.000
I  0.500  0.500  0.500
Br  0.000  0.000  0.500

Properties
formation energy without anion corrections = 0.842 eV per atom



KBa4Na5: relaxed, PBE.

Cell lengths 4.699, 4.699, 23.585 Å; angles 90.00, 90.00, 90.00 degrees
Fractional positions:
K  0.000  0.000  0.000
Ba  0.000  0.000  0.205
Ba  0.000  0.000  0.402
Ba  0.000  0.000  0.598
Ba  0.000  0.000  0.795
Na  0.500  0.500  0.103
Na  0.500  0.500  0.303
Na  0.500  0.500  0.500
Na  0.500  0.500  0.697
Na  0.500  0.500  0.897

Properties
energy of formation from the pure elements = 0.0129 eV/atom



Ba2Sb2Te: relaxed, PBE.

Cell lengths 10.069, 10.069, 10.069 Å; angles 154.53, 154.53, 36.33 degrees
Fractional positions:
Ba  0.102  0.102  0.000
Ba  0.898  0.898  0.000
Sb  0.250  0.750  0.500
Sb  0.750  0.250  0.500
Te  0.500  0.500  0.000

Properties
formation energy without anion corrections = -1.083 eV per atom
distance to the lowest polymorph of the same formula = 0 meV per atom



KTaTc2: relaxed, PBE.

Cell lengths 6.175, 6.175, 6.175 Å; angles 154.40, 127.93, 58.90 degrees
Fractional positions:
K  0.000  0.000  0.000
Ta  0.297  0.797  0.500
Tc  0.512  0.512  0.000
Tc  0.716  0.216  0.500

Properties
energy of formation from the pure elements = 1.1269 eV/atom
distance to the lowest polymorph of the same formula = 569 meV per atom



LiPmGdMn: relaxed, PBE.

Cell lengths 5.128, 5.128, 5.128 Å; angles 60.00, 60.00, 60.00 degrees
Fractional positions:
Li  0.000  0.000  0.000
Pm  0.750  0.750  0.750
Gd  0.250  0.250  0.250
Mn  0.500  0.500  0.500

Properties
energy of formation from the pure elements = 0.1719 eV/atom



PrEr2Pd2: relaxed, PBE.

Cell lengths 4.659, 4.659, 6.789 Å; angles 109.89, 109.89, 90.03 degrees
Fractional positions:
Pr  0.000  0.000  0.000
Er  0.250  0.750  0.500
Er  0.750  0.250  0.500
Pd  0.387  0.387  0.776
Pd  0.613  0.613  0.224

Properties
energy of formation from the pure elements = -0.5862 eV/atom



Sr3Tb2YTe6: relaxed, PBE.

Cell lengths 7.781, 7.781, 7.984 Å; angles 99.37, 99.37, 119.93 degrees
Fractional positions:
Sr  0.000  0.000  0.000
Sr  0.333  0.667  0.000
Sr  0.667  0.333  0.000
Tb  0.166  0.834  0.500
Tb  0.834  0.166  0.500
Y  0.500  0.500  0.500
Te  0.090  0.423  0.268
Te  0.245  0.245  0.732
Te  0.423  0.090  0.268
Te  0.577  0.910  0.732
Te  0.755  0.755  0.268
Te  0.910  0.577  0.732

Properties
formation energy without anion corrections = -1.505 eV per atom